Here is a relaxed NiAgBrF2 crystal from the Alexandria database. Energies are from PBE with a Hubbard U.

Output
- V (Å³/atom) = 17.117
- total energy (eV/atom) = -3.410

Structure (POSCAR):
```
NiAgBrF2
1.0
-3.5123 -0.7399 -1.6812
-1.0968 -2.0651 3.2003
-2.0250 4.5372 2.2338
Ni Br Ag F
1 1 1 2
Cartesian
0.0000 0.0000 0.0000
-1.0125 2.2686 1.1169
-3.3171 0.8661 1.8765
-0.5484 -1.0326 1.6002
-1.7561 -0.3700 -0.8406
```